Entry w
{"formula": "LiScCl2", "functional": "GGA-PBE", "state": "optimized geometry", "mass_density_g_cm3": 2.83, "cell": [[0.0000, 3.3024, 3.3024], [3.3024, 0.0000, 3.3024], [3.3024, 3.3024, 0.0000]], "species": ["Cl", "Cl", "Li", "Sc"], "frac_coords": [[0.2500, 0.2500, 0.2500], [0.7500, 0.7500, 0.7500], [0.0000, 0.0000, 0.0000], [0.5000, 0.5000, 0.5000]]}

Entry x
{"formula": "LiScCl2", "functional": "GGA-PBE", "state": "optimized geometry", "mass_density_g_cm3": 2.85, "cell": [[-3.0603, 1.3661, -0.5455], [-2.7539, -1.3748, 1.4335], [-1.0702, 4.2278, 6.0213]], "species": ["Li", "Sc", "Cl", "Cl"], "frac_coords": [[0.7500, 0.7500, 0.7500], [0.2500, 0.2500, 0.2500], [0.4885, 0.4885, 0.5334], [0.0115, 0.0115, 0.9666]]}

It is entry w that is the least stable of them.

Entry w
{"formula": "LiScCl2", "functional": "GGA-PBE", "state": "optimized geometry", "mass_density_g_cm3": 2.74, "cell": [[6.6808, 0.0131, -0.0034], [4.8755, 4.5676, 0.0034], [-5.8136, -2.2011, 2.4477]], "species": ["Cl", "Cl", "Li", "Sc"], "frac_coords": [[0.2154, 0.7154, 0.5000], [0.9637, 0.9637, 0.0000], [0.5148, 0.5148, 0.0000], [0.8062, 0.3062, 0.5000]]}

Entry x
{"formula": "LiScCl2", "functional": "GGA-PBE", "state": "optimized geometry", "mass_density_g_cm3": 2.31, "cell": [[-4.2791, 4.2002, 5.3923], [-0.8953, 4.4887, 6.6392], [-2.0480, 6.6900, 4.0098]], "species": ["Li", "Cl", "Cl", "Sc"], "frac_coords": [[0.5000, 0.5000, 0.5000], [0.1056, 0.1056, 0.1056], [0.8944, 0.8944, 0.8944], [0.0000, 0.0000, 0.0000]]}

It is entry w that is the least stable of them.

Entry w
{"formula": "LiScCl2", "functional": "GGA-PBE", "state": "optimized geometry", "mass_density_g_cm3": 2.44, "cell": [[-4.0368, -2.1903, 2.3739], [0.7774, -3.0978, -1.5362], [3.0526, -2.6245, 2.7694]], "species": ["Cl", "Cl", "Sc", "Li"], "frac_coords": [[0.5000, 0.1792, 0.2696], [0.0000, 0.8779, 0.8685], [0.5000, 0.8972, 0.8323], [0.0000, 0.5457, 0.5297]]}

Entry x
{"formula": "LiScCl2", "functional": "GGA-PBE", "state": "optimized geometry", "mass_density_g_cm3": 2.20, "cell": [[6.1984, 0.5157, -0.0421], [1.1779, 6.1073, -0.0421], [1.9178, 1.7219, 2.4684]], "species": ["Li", "Cl", "Cl", "Sc"], "frac_coords": [[0.5000, 0.0000, 0.5000], [0.5000, 0.5000, 0.0000], [0.0000, 0.0000, 0.0000], [0.0000, 0.5000, 0.5000]]}

It is entry x that is the least stable of them.

Entry w
{"formula": "LiScCl2", "functional": "GGA-PBE", "state": "optimized geometry", "mass_density_g_cm3": 2.94, "cell": [[3.2876, 0.0000, 0.0000], [0.0000, 3.2876, 0.0000], [0.0000, 0.0000, 6.4180]], "species": ["Sc", "Cl", "Cl", "Li"], "frac_coords": [[0.5000, 0.5000, 0.7500], [0.0000, 0.0000, 0.5135], [0.0000, 0.0000, 0.9865], [0.5000, 0.5000, 0.2500]]}

Entry x
{"formula": "LiScCl2", "functional": "GGA-PBE", "state": "optimized geometry", "mass_density_g_cm3": 2.52, "cell": [[3.4008, 0.0000, 0.0000], [0.0000, 3.4008, 0.0000], [0.0000, 0.0000, 6.9959]], "species": ["Cl", "Cl", "Sc", "Li"], "frac_coords": [[0.0000, 0.0000, 0.9792], [0.5000, 0.5000, 0.3917], [0.5000, 0.5000, 0.7639], [0.0000, 0.0000, 0.3652]]}

It is entry w that is the least stable of them.